VASP calculation (PBE-GGA) on a relaxed CrSi3Mo crystal.

**Energy relative to the lowest polymorph listed for this composition**: 0.000 eV per atom

abc: 4.412 4.412 4.412
angles: 90.00 90.00 90.00
Space group Pm-3m (No. 221)
One atom of each set of equivalent atoms:
Cr (0.000, 0.000, 0.000) [1 per cell]
Si (0.000, 0.000, 0.500) [3 per cell]
Mo (0.500, 0.500, 0.500) [1 per cell]

***

VASP calculation (PBE-GGA) on a relaxed CrSiMo crystal.

**E_tot**: -26.5 eV per formula unit

abc: 7.621 4.829 8.505
angles: 90.00 90.00 90.00
Space group Amm2 (No. 38)
One atom of each set of equivalent atoms:
Cr (0.000, 0.243, 0.000) [4 per cell]
Cr (0.247, 0.000, 0.575) [4 per cell]
Si (0.000, 0.000, 0.755) [2 per cell]
Si (0.500, 0.000, 0.409) [2 per cell]
Si (0.500, 0.247, 0.162) [4 per cell]
Mo (0.192, 0.000, 0.245) [4 per cell]
Mo (0.324, 0.000, 0.913) [4 per cell]

***

VASP calculation (PBE-GGA) on a relaxed Cr3SiMo crystal.

**Energy relative to the lowest polymorph listed for this composition**: 0.000 eV per atom

abc: 4.241 4.241 4.241
angles: 90.00 90.00 90.00
Space group Pm-3m (No. 221)
One atom of each set of equivalent atoms:
Cr (0.000, 0.000, 0.500) [3 per cell]
Si (0.000, 0.000, 0.000) [1 per cell]
Mo (0.500, 0.500, 0.500) [1 per cell]

***

VASP calculation (PBE-GGA) on a relaxed Cr3Si2Mo3 crystal.

**E_tot**: -74.6 eV per formula unit

abc: 6.6956 6.6956 8.1911
angles: 90.00 90.00 120.00
Space group R32 (No. 155, hexagonal axes)
One atom of each set of equivalent atoms:
Cr (0.0000, 0.2506, 0.0000) [9 per cell]
Si (0.0000, 0.0000, 0.2417) [6 per cell]
Mo (0.0000, 0.7502, 0.5000) [9 per cell]

***

VASP calculation (PBE-GGA) on a relaxed CrSi2Mo2 crystal.

**E_tot**: -43.2 eV per formula unit

abc: 6.362 6.362 3.400
angles: 90.00 90.00 90.00
Space group P4/mbm (No. 127)
One atom of each set of equivalent atoms:
Cr (0.000, 0.000, 0.000) [2 per cell]
Si (0.135, 0.365, 0.000) [4 per cell]
Mo (0.166, 0.666, 0.500) [4 per cell]

***

VASP calculation (PBE-GGA) on a relaxed CrSi2Mo crystal.

**Energy relative to the lowest polymorph listed for this composition**: 0.287 eV per atom

abc: 3.132 4.422 7.681
angles: 90.00 90.00 90.00
Space group Immm (No. 71)
One atom of each set of equivalent atoms:
Cr (0.000, 0.000, 0.000) [2 per cell]
Si (0.000, 0.500, 0.259) [4 per cell]
Mo (0.000, 0.000, 0.500) [2 per cell]

***

VASP calculation (PBE-GGA) on a relaxed Cr3SiMo crystal.

**Energy relative to the lowest polymorph listed for this composition**: 0.549 eV per atom

abc: 4.623 4.623 4.623
angles: 90.00 90.00 90.00
Space group Pm-3m (No. 221)
One atom of each set of equivalent atoms:
Cr (0.000, 0.000, 0.500) [3 per cell]
Si (0.500, 0.500, 0.500) [1 per cell]
Mo (0.000, 0.000, 0.000) [1 per cell]

***

VASP calculation (PBE-GGA) on a relaxed CrSi2Mo crystal.

**Energy relative to the lowest polymorph listed for this composition**: 0.498 eV per atom

abc: 3.191 4.222 8.179
angles: 90.00 90.00 90.00
Space group Cmm2 (No. 35)
One atom of each set of equivalent atoms:
Cr (0.000, 0.000, 0.000) [2 per cell]
Si (0.000, 0.000, 0.506) [2 per cell]
Si (0.000, 0.500, 0.778) [2 per cell]
Mo (0.000, 0.500, 0.256) [2 per cell]